Entry from Alexandria: a PBEsol-optimized structure of LaMn2IrOs (SCAN).

Output
Total magnetic moment in μB per cell: 7.466
DFT formation energy in kJ/mol of formula units: 433
Calculated volume in A^3/atom: 21.89
Final energy in eV per atom: -43.621

a = 4.452 Å, b = 4.452 Å, c = 5.523 Å
α = 90.00°, β = 90.00°, γ = 90.00°
Fractional positions:
La1 0.000 0.000 0.000
Mn1 0.000 0.500 0.500
Mn2 0.500 0.000 0.500
Ir1 0.500 0.500 0.000
Os1 0.000 0.000 0.500


Entry from Alexandria: a PBEsol-optimized structure of LaNi2As2 (SCAN).

Output
Total magnetic moment in μB per cell: 0.000
DFT formation energy in kJ/mol of formula units: -458
Calculated volume in A^3/atom: 16.54
Final energy in eV per atom: -24.117

a = 4.208 Å, b = 4.208 Å, c = 9.340 Å
α = 90.00°, β = 90.00°, γ = 90.00°
Fractional positions:
La1 0.250 0.250 0.247
La2 0.750 0.750 0.753
Ni1 0.250 0.250 0.617
Ni2 0.250 0.750 0.000
Ni3 0.750 0.250 0.000
Ni4 0.750 0.750 0.383
As1 0.250 0.250 0.872
As2 0.250 0.750 0.500
As3 0.750 0.250 0.500
As4 0.750 0.750 0.128